Compound: Tb3Ho2Bi3
Source: the Alexandria database
Functional: PBE
Structure: relaxed

Properties
- E_form: -0.6947 eV/atom
- Magnetization: 0.00 μB per formula unit
- Symmetry: P6_3/mcm (193)

abc: 6.3868 9.1810 9.1810
angles: 120.00 90.00 90.00
Last column: nearest neighbours and their distance in Å.
Positions (direct):
1 Tb 0.7500 0.2441 0.0000  5 Bi 3.14-3.46
2 Tb 0.7500 0.7559 0.7559  5 Bi 3.14-3.46
3 Tb 0.7500 0.0000 0.2441  5 Bi 3.14-3.46
4 Tb 0.2500 0.7559 0.0000  5 Bi 3.14-3.46
5 Tb 0.2500 0.2441 0.2441  5 Bi 3.14-3.46
6 Tb 0.2500 0.0000 0.7559  5 Bi 3.14-3.46
7 Ho 0.0000 0.3333 0.6667  2 Ho 3.19, 6 Bi 3.25
8 Ho 0.5000 0.6667 0.3333  2 Ho 3.19, 6 Bi 3.25
9 Ho 0.0000 0.6667 0.3333  2 Ho 3.19, 6 Bi 3.25
10 Ho 0.5000 0.3333 0.6667  2 Ho 3.19, 6 Bi 3.25
11 Bi 0.7500 0.6098 0.0000  5 Tb 3.14-3.46, 4 Ho 3.25
12 Bi 0.7500 0.3902 0.3902  5 Tb 3.14-3.46, 4 Ho 3.25
13 Bi 0.7500 0.0000 0.6098  5 Tb 3.14-3.46, 4 Ho 3.25
14 Bi 0.2500 0.3902 0.0000  5 Tb 3.14-3.46, 4 Ho 3.25
15 Bi 0.2500 0.6098 0.6098  5 Tb 3.14-3.46, 4 Ho 3.25
16 Bi 0.2500 0.0000 0.3902  5 Tb 3.14-3.46, 4 Ho 3.25